No. 1
9
Lattice="-3.197 0.114 1.519 -2.463 -5.703 -4.757 3.217 -1.782 6.906" Properties=species:S:1:pos:R:3 comment="Sm3Tl2BRu3 PBE relaxed" total_energy_ha_per_atom=-0.2245 dos_ef_per_ev_fu=4.93 m_tot_mub_per_fu=0.00 space_group="P-62m, No. 189" density_g_cm3=10.38 pbc="T T T"
Sm 1.092 -0.605 2.343
Sm 0.498 -4.945 1.420
Sm -0.836 -1.935 -1.614
Tl -0.275 -3.032 3.778
Tl -2.169 -4.339 -0.110
B 0.000 0.000 0.000
Ru -3.553 -4.468 -3.015
Ru -1.443 -1.489 1.203
Ru 0.954 -1.357 6.239

***

No. 2
80
Lattice="-2.838 15.325 -0.167 -11.306 -7.461 -7.709 0.438 -5.043 14.741" Properties=species:S:1:pos:R:3 comment="Tl3Pt5I12 PBE relaxed" total_energy_ha_per_atom=-0.1063 e_form_raw_ev_per_atom=-0.0985 dos_ef_per_ev_fu=18.42 m_tot_mub_per_fu=0.00 space_group="Ia-3d, No. 230" density_g_cm3=7.09 pbc="T T T"
Tl -6.313 8.065 -1.173
Tl -10.907 7.183 -4.085
Tl -9.270 -3.001 3.369
Tl -1.958 1.008 4.523
Tl -3.787 11.216 2.576
Tl -8.021 -0.177 -1.196
Tl -5.685 2.998 8.061
Tl -9.919 -8.395 4.289
Tl -11.747 1.813 2.342
Tl -4.436 5.822 3.496
Tl -2.798 -4.362 10.950
Tl -7.392 -5.244 8.039
Pt -4.485 -2.143 0.773
Pt -5.653 -3.731 -3.855
Pt 0.000 0.000 0.000
Pt -3.836 3.251 -0.147
Pt -1.200 5.141 7.287
Pt -7.072 3.932 -3.938
Pt -8.670 -5.571 -0.275
Pt -3.158 6.149 11.810
Pt -9.030 4.939 0.585
Pt -2.149 1.032 10.030
Pt -11.556 1.789 -3.165
Pt -6.853 1.410 3.433
Pt -1.419 7.662 -0.083
Pt 0.219 -2.521 7.371
Pt -4.675 -2.118 6.281
Pt -10.547 -3.328 -4.945
Pt -5.434 -6.252 3.516
Pt -5.036 8.392 7.140
Pt -9.870 -0.430 7.012
Pt -9.221 4.964 6.092
I -3.205 9.692 -0.752
I -6.559 -0.919 1.935
I -7.064 10.637 1.387
I -3.572 5.903 0.071
I -9.164 0.329 4.547
I -9.456 9.764 -2.157
I -9.880 -3.193 -0.107
I -10.619 -5.948 -5.475
I -12.535 -1.631 2.276
I -8.447 5.369 -1.989
I -7.612 6.811 1.864
I -12.552 5.801 -6.892
I -7.902 -6.057 2.240
I -5.638 2.547 -1.993
I -10.279 -7.475 -1.242
I -2.179 2.598 7.863
I -2.140 -1.046 1.443
I -8.983 1.907 -3.882
I -12.597 4.202 -2.672
I -5.014 -1.919 -1.838
I -11.891 -5.463 4.263
I -8.410 2.462 1.377
I -11.651 5.115 1.087
I -5.550 5.346 10.925
I -5.295 0.359 5.488
I -2.055 -2.294 5.779
I -8.155 -2.525 -4.060
I -1.109 -1.381 9.537
I -1.814 8.284 2.602
I -8.691 4.740 8.703
I -4.722 0.914 10.747
I -11.526 0.223 -0.997
I -11.565 3.867 5.422
I -3.426 10.296 8.107
I -5.804 8.878 4.625
I -1.154 -2.980 13.757
I -8.067 0.274 8.858
I -1.170 4.452 4.589
I -5.258 -2.549 8.855
I -6.093 -3.990 5.001
I -3.087 8.769 12.340
I -3.826 6.013 6.972
I -10.133 -3.082 6.794
I -4.249 -6.943 9.022
I -4.541 2.492 2.318
I -6.641 -7.816 5.478
I -7.146 3.740 4.930
I -10.501 -6.871 7.617

***

No. 3
15
Lattice="-6.623 -4.192 0.951 3.635 0.102 -7.010 3.993 -4.847 6.447" Properties=species:S:1:pos:R:3 comment="Zr3Tl3AgSe8 PBE relaxed" total_energy_ha_per_atom=-0.1876 e_form_raw_ev_per_atom=-0.8739 dos_ef_per_ev_fu=3.34 m_tot_mub_per_fu=0.00 space_group="R-3m, No. 166" density_g_cm3=6.44 pbc="T T T"
Zr -1.315 -4.519 3.699
Zr 0.503 -4.468 0.194
Zr 3.814 -2.372 -0.281
Tl 0.000 0.000 0.000
Tl 1.818 0.051 -3.505
Tl -1.494 -2.045 -3.030
Ag 1.997 -2.424 3.224
Se 1.362 -2.505 -1.555
Se -0.357 -6.431 1.943
Se -1.944 -4.581 -0.956
Se 2.949 -4.355 1.344
Se -3.662 -4.629 2.358
Se 4.667 -4.308 -1.970
Se -0.532 -2.648 1.909
Se 1.538 -6.288 -1.521

***

No. 4
10
Lattice="-3.485 1.977 0.035 -1.028 -1.871 3.391 3.743 6.515 4.730" Properties=species:S:1:pos:R:3 comment="U2BeNi3P4 PBE relaxed" total_energy_ha_per_atom=-0.2640 dos_ef_per_ev_fu=13.53 m_tot_mub_per_fu=4.77 space_group="P-4m2, No. 115" density_g_cm3=9.14 pbc="T T T"
U -0.812 2.609 1.194
U 2.298 3.959 5.249
Be -0.385 3.310 4.078
Ni 1.872 3.257 2.365
Ni 1.570 6.755 4.204
Ni -0.084 -0.187 2.239
P -2.257 0.053 1.713
P 0.000 0.000 0.000
P 0.623 5.106 3.007
P 0.864 1.462 3.436

***

No. 5
15
Lattice="8.126 0.000 0.000 -4.063 7.036 -0.024 0.000 -4.673 6.095" Properties=species:S:1:pos:R:3 comment="Li3Ce3PuS8 PBE relaxed" total_energy_ha_per_atom=-0.2357 e_form_raw_ev_per_atom=-1.6882 dos_ef_per_ev_fu=24.96 m_tot_mub_per_fu=7.00 space_group="R-3m, No. 166" density_g_cm3=4.50 pbc="T T T"
Li 0.000 0.000 0.000
Li -2.031 3.518 -0.012
Li 2.031 3.518 -0.012
Ce 4.063 -2.336 3.048
Ce 2.031 1.182 3.036
Ce -2.031 1.182 3.036
Pu 0.000 -2.336 3.048
S 0.000 2.349 1.472
S 4.063 0.014 4.600
S 4.063 2.398 1.550
S 0.000 -0.035 4.521
S 6.137 -1.193 1.562
S -2.074 3.557 4.509
S 1.989 -1.193 1.562
S 2.074 3.557 4.509

***

No. 6
12
Lattice="5.424 -0.350 0.893 -0.022 7.284 2.987 1.276 0.374 9.474" Properties=species:S:1:pos:R:3 comment="LiLa5Mg6 PBE relaxed" total_energy_ha_per_atom=-0.1131 dos_ef_per_ev_fu=14.16 m_tot_mub_per_fu=0.02 space_group="C2/m, No. 12" density_g_cm3=3.92 pbc="T T T"
Mg 4.966 4.312 5.523
Mg 4.978 0.362 3.902
Mg 3.971 5.859 12.240
Mg 2.708 1.448 1.114
Mg 1.700 6.945 9.452
Mg 1.712 2.996 7.831
La 4.498 1.301 7.234
La 2.227 2.437 4.448
La -0.011 3.642 1.493
La 4.452 4.870 8.905
La 2.181 6.006 6.120
Li 0.000 0.000 0.000

***

No. 7
4
Lattice="-2.794 -2.870 2.062 -1.361 -1.553 -4.004 1.997 -1.902 0.059" Properties=species:S:1:pos:R:3 comment="BePt2Rh PBE relaxed" total_energy_ha_per_atom=-0.2190 dos_ef_per_ev_fu=2.13 m_tot_mub_per_fu=0.00 space_group="P4/mmm, No. 123" density_g_cm3=14.89 pbc="T T T"
Be 0.318 -1.727 -1.973
Rh -0.399 -2.386 1.061
Pt 0.000 0.000 0.000
Pt -2.077 -2.211 -0.971

***

No. 8
11
Lattice="3.974 0.000 0.000 0.000 7.691 0.042 0.000 -0.704 9.731" Properties=species:S:1:pos:R:3 comment="Hg5Pb4Au2 PBE relaxed" total_energy_ha_per_atom=-0.0767 dos_ef_per_ev_fu=4.19 m_tot_mub_per_fu=0.00 space_group="P2/m, No. 10" density_g_cm3=12.42 pbc="T T T"
Hg 0.000 3.911 3.169
Hg 0.000 1.288 1.475
Hg 0.000 3.845 0.021
Hg 0.000 5.699 8.298
Hg 0.000 3.076 6.604
Pb 1.987 5.521 5.483
Pb 1.987 0.665 8.446
Pb 1.987 1.466 4.289
Pb 1.987 6.322 1.327
Au 0.000 0.136 6.228
Au 0.000 6.851 3.545

***

No. 9
14
Lattice="-2.523 -3.890 4.362 -0.263 -4.519 -4.182 7.372 -0.068 -0.390" Properties=species:S:1:pos:R:3 comment="BaNaIO4 PBE relaxed" total_energy_ha_per_atom=-0.1821 e_form_raw_ev_per_atom=-1.4369 dos_ef_per_ev_fu=0.00 m_tot_mub_per_fu=0.00 space_group="P2_1/m, No. 11" density_g_cm3=4.45 pbc="T T T"
Ba 5.134 -6.262 -0.368
Ba -0.548 -2.215 0.157
Na 4.773 -3.735 -3.075
Na -0.187 -4.742 2.865
I 1.410 -4.768 -1.748
I 3.176 -3.709 1.538
O 3.182 -5.572 1.515
O 1.286 -4.931 -3.600
O 1.404 -2.905 -1.725
O 3.300 -3.546 3.390
O -0.628 -4.771 -1.617
O 5.214 -3.706 1.406
O 3.355 -4.855 -1.776
O 1.231 -3.622 1.565

***

No. 10
4
Lattice="-1.587 5.322 -0.829 0.032 -2.243 5.148 1.935 1.684 1.608" Properties=species:S:1:pos:R:3 comment="NiPt2Pb PBE relaxed" total_energy_ha_per_atom=-0.1936 dos_ef_per_ev_fu=2.93 m_tot_mub_per_fu=0.00 space_group="C2/m, No. 12" density_g_cm3=15.89 pbc="T T T"
Ni 0.174 3.503 0.389
Pb 0.983 -0.279 3.378
Pt 0.000 0.000 0.000
Pt -0.777 1.540 2.159

***

No. 11
16
Lattice="4.358 0.000 0.000 -2.179 8.297 0.000 0.000 0.000 9.060" Properties=species:S:1:pos:R:3 comment="Th2Zn5Ag PBE relaxed" total_energy_ha_per_atom=-0.1188 dos_ef_per_ev_fu=6.68 m_tot_mub_per_fu=0.00 space_group="Cmcm, No. 63" density_g_cm3=9.11 pbc="T T T"
Th 2.179 4.905 6.795
Th 0.000 3.391 2.265
Th 0.000 0.000 0.000
Th 0.000 0.000 4.530
Zn 0.000 3.069 8.079
Zn 2.179 5.228 0.980
Zn 0.000 3.069 5.510
Zn 2.179 5.228 3.550
Zn 0.000 5.771 8.891
Zn 2.179 2.526 0.169
Zn 0.000 5.771 4.699
Zn 2.179 2.526 4.361
Zn 2.179 1.675 6.795
Zn 0.000 6.622 2.265
Ag 0.000 7.385 6.795
Ag 2.179 0.911 2.265

***

No. 12
11
Lattice="-5.647 -4.906 -1.168 2.341 1.669 6.213 -5.479 6.927 -2.605" Properties=species:S:1:pos:R:3 comment="Cs2YTe2S6 PBE relaxed" total_energy_ha_per_atom=-0.1583 e_form_raw_ev_per_atom=-0.7433 dos_ef_per_ev_fu=2.65 m_tot_mub_per_fu=0.00 space_group="C2/m, No. 12" density_g_cm3=3.55 pbc="T T T"
Cs -3.680 -1.920 1.320
Cs -5.106 5.610 1.120
Y -5.563 1.011 -1.886
Te -7.290 2.042 2.130
Te -1.496 1.648 0.310
S -5.860 0.699 0.856
S -0.569 2.089 4.865
S -5.711 3.777 -1.906
S -8.216 1.601 -2.424
S -3.075 -0.087 4.347
S -2.926 2.991 1.584